--- a ---
Compound: AcErOs
Source: the Open Quantum Materials Database
Functional: PBE
Structure: optimized geometry

Geometry as POSCAR:
```
AcErOs
1.0
0.000 3.448 3.448
3.448 0.000 3.448
3.448 3.448 0.000
Ac Er Os
1 1 1
Direct
0.000 0.000 0.000
0.250 0.250 0.250
0.500 0.500 0.500
```

--- b ---
Compound: AcErOs
Source: the Open Quantum Materials Database
Functional: PBE
Structure: optimized geometry

Geometry as POSCAR:
```
AcErOs
1.0
0.000 3.478 3.478
3.478 0.000 3.478
3.478 3.478 0.000
Ac Er Os
1 1 1
Direct
0.000 0.000 0.000
0.750 0.750 0.750
0.250 0.250 0.250
```

Energies, relative to the best one, in eV/atom: a 0.000; b 0.343.

--- a ---
Compound: AcErSc
Source: the Open Quantum Materials Database
Functional: PBE
Structure: optimized geometry

Geometry as POSCAR:
```
AcErSc
1.0
0.000 3.851 3.851
3.851 0.000 3.851
3.851 3.851 0.000
Ac Er Sc
1 1 1
Direct
0.000 0.000 0.000
0.500 0.500 0.500
0.250 0.250 0.250
```

--- b ---
Compound: AcErSc
Source: the Open Quantum Materials Database
Functional: PBE
Structure: optimized geometry

Geometry as POSCAR:
```
AcErSc
1.0
0.000 3.864 3.864
3.864 0.000 3.864
3.864 3.864 0.000
Ac Er Sc
1 1 1
Direct
0.000 0.000 0.000
0.750 0.750 0.750
0.250 0.250 0.250
```

Energies, relative to the best one, in eV/atom: a 0.000; b 0.259.

--- a ---
Compound: AcErTe
Source: the Open Quantum Materials Database
Functional: PBE
Structure: optimized geometry

Geometry as POSCAR:
```
AcErTe
1.0
0.000 3.788 3.788
3.788 0.000 3.788
3.788 3.788 0.000
Ac Er Te
1 1 1
Direct
0.000 0.000 0.000
0.500 0.500 0.500
0.250 0.250 0.250
```

--- b ---
Compound: AcErTe
Source: the Open Quantum Materials Database
Functional: PBE
Structure: optimized geometry

Geometry as POSCAR:
```
AcErTe
1.0
0.000 3.944 3.944
3.944 0.000 3.944
3.944 3.944 0.000
Ac Er Te
1 1 1
Direct
0.000 0.000 0.000
0.750 0.750 0.750
0.250 0.250 0.250
```

Energies, relative to the best one, in eV/atom: a 0.000; b 0.609.

--- a ---
Compound: AcErTm
Source: the Open Quantum Materials Database
Functional: PBE
Structure: optimized geometry

Geometry as POSCAR:
```
AcErTm
1.0
0.000 3.955 3.955
3.955 0.000 3.955
3.955 3.955 0.000
Ac Er Tm
1 1 1
Direct
0.000 0.000 0.000
0.500 0.500 0.500
0.250 0.250 0.250
```

--- b ---
Compound: AcErTm
Source: the Open Quantum Materials Database
Functional: PBE
Structure: optimized geometry

Geometry as POSCAR:
```
AcErTm
1.0
0.000 3.969 3.969
3.969 0.000 3.969
3.969 3.969 0.000
Ac Er Tm
1 1 1
Direct
0.000 0.000 0.000
0.750 0.750 0.750
0.250 0.250 0.250
```

Energies, relative to the best one, in eV/atom: a 0.000; b 0.172.

--- a ---
Compound: AcYEr
Source: the Open Quantum Materials Database
Functional: PBE
Structure: optimized geometry

Geometry as POSCAR:
```
AcYEr
1.0
0.000 3.997 3.997
3.997 0.000 3.997
3.997 3.997 0.000
Ac Y Er
1 1 1
Direct
0.000 0.000 0.000
0.250 0.250 0.250
0.750 0.750 0.750
```

--- b ---
Compound: AcYEr
Source: the Open Quantum Materials Database
Functional: PBE
Structure: optimized geometry

Geometry as POSCAR:
```
AcYEr
1.0
0.000 3.983 3.983
3.983 0.000 3.983
3.983 3.983 0.000
Ac Y Er
1 1 1
Direct
0.000 0.000 0.000
0.500 0.500 0.500
0.250 0.250 0.250
```

Energies, relative to the best one, in eV/atom: a 0.165; b 0.000.

--- a ---
Compound: AcFeHg
Source: the Open Quantum Materials Database
Functional: PBE
Structure: optimized geometry

Geometry as POSCAR:
```
AcFeHg
1.0
0.000 3.449 3.449
3.449 0.000 3.449
3.449 3.449 0.000
Ac Fe Hg
1 1 1
Direct
0.000 0.000 0.000
0.250 0.250 0.250
0.500 0.500 0.500
```

--- b ---
Compound: AcFeHg
Source: the Open Quantum Materials Database
Functional: PBE
Structure: optimized geometry

Geometry as POSCAR:
```
AcFeHg
1.0
0.000 3.662 3.662
3.662 0.000 3.662
3.662 3.662 0.000
Ac Fe Hg
1 1 1
Direct
0.000 0.000 0.000
0.750 0.750 0.750
0.250 0.250 0.250
```

Energies, relative to the best one, in eV/atom: a 0.000; b 0.457.

--- a ---
Compound: AcInFe
Source: the Open Quantum Materials Database
Functional: PBE
Structure: optimized geometry

Geometry as POSCAR:
```
AcInFe
1.0
0.000 3.585 3.585
3.585 0.000 3.585
3.585 3.585 0.000
Ac In Fe
1 1 1
Direct
0.000 0.000 0.000
0.250 0.250 0.250
0.750 0.750 0.750
```

--- b ---
Compound: AcInFe
Source: the Open Quantum Materials Database
Functional: PBE
Structure: optimized geometry

Geometry as POSCAR:
```
AcInFe
1.0
0.000 3.444 3.444
3.444 0.000 3.444
3.444 3.444 0.000
Ac In Fe
1 1 1
Direct
0.000 0.000 0.000
0.500 0.500 0.500
0.250 0.250 0.250
```

Energies, relative to the best one, in eV/atom: a 0.698; b 0.000.

--- a ---
Compound: LiAcFe
Source: the Open Quantum Materials Database
Functional: PBE
Structure: optimized geometry

Geometry as POSCAR:
```
LiAcFe
1.0
0.000 3.449 3.449
3.449 0.000 3.449
3.449 3.449 0.000
Li Ac Fe
1 1 1
Direct
0.000 0.000 0.000
0.750 0.750 0.750
0.500 0.500 0.500
```

--- b ---
Compound: LiAcFe
Source: the Open Quantum Materials Database
Functional: PBE
Structure: optimized geometry

Geometry as POSCAR:
```
LiAcFe
1.0
0.000 3.324 3.324
3.324 0.000 3.324
3.324 3.324 0.000
Li Ac Fe
1 1 1
Direct
0.000 0.000 0.000
0.500 0.500 0.500
0.750 0.750 0.750
```

Energies, relative to the best one, in eV/atom: a 0.416; b 0.000.